P.
The following is a PBE calculation of crystalline SrHg3Rh at its relaxed geometry, from Alexandria.

Computed properties:
DOS(E_F) (states/eV per atom): 0.73

a b c (Å): 5.248 5.248 5.248
angles (deg): 90.00 90.00 90.00
Atoms (fractional coordinates):
Sr  0.000  0.000  0.000
Hg  0.000  0.500  0.500
Hg  0.500  0.000  0.500
Hg  0.500  0.500  0.000
Rh  0.500  0.500  0.500

Q.
The following is a PBE calculation of crystalline SrHg3Rh at its relaxed geometry, from Alexandria.

Computed properties:
DOS(E_F) (states/eV per atom): 2.43

a b c (Å): 5.990 5.990 5.990
angles (deg): 90.00 90.00 90.00
Atoms (fractional coordinates):
Sr  0.000  0.000  0.000
Hg  0.000  0.000  0.500
Hg  0.000  0.500  0.000
Hg  0.500  0.000  0.000
Rh  0.500  0.500  0.500

Relative energy of each structure, in meV per atom: P 0; Q 1268.

P.
The following is a PBE calculation of crystalline Sr4Hg2Rh at its relaxed geometry, from Alexandria.

Computed properties:
DOS(E_F) (states/eV per atom): 0.91

a b c (Å): 5.520 5.520 18.914
angles (deg): 90.00 90.00 90.00
Atoms (fractional coordinates):
Sr  0.000  0.000  0.183
Sr  0.000  0.000  0.817
Sr  0.000  0.500  0.000
Sr  0.000  0.500  0.500
Sr  0.500  0.000  0.000
Sr  0.500  0.000  0.500
Sr  0.500  0.500  0.317
Sr  0.500  0.500  0.683
Hg  0.000  0.000  0.357
Hg  0.000  0.000  0.643
Hg  0.500  0.500  0.143
Hg  0.500  0.500  0.857
Rh  0.000  0.000  0.500
Rh  0.500  0.500  0.000

Q.
The following is a PBE calculation of crystalline Sr4Hg2Rh at its relaxed geometry, from Alexandria.

Computed properties:
DOS(E_F) (states/eV per atom): 0.58

a b c (Å): 14.621 5.205 6.766
angles (deg): 90.00 110.62 90.00
Atoms (fractional coordinates):
Sr  0.076  0.000  0.271
Sr  0.145  0.500  0.777
Sr  0.355  0.000  0.223
Sr  0.424  0.500  0.729
Sr  0.576  0.500  0.271
Sr  0.645  0.000  0.777
Sr  0.855  0.500  0.223
Sr  0.924  0.000  0.729
Hg  0.212  0.500  0.300
Hg  0.288  0.000  0.700
Hg  0.712  0.000  0.300
Hg  0.788  0.500  0.700
Rh  0.000  0.500  0.000
Rh  0.500  0.000  0.000

Relative energy of each structure, in meV per atom: P 178; Q 0.

P.
The following is a PBE calculation of crystalline TaHgRh at its relaxed geometry, from Alexandria.

Computed properties:
DOS(E_F) (states/eV per atom): 0.96

a b c (Å): 3.016 3.016 6.883
angles (deg): 90.00 90.00 120.00
Atoms (fractional coordinates):
Ta  0.000  0.000  0.000
Hg  0.667  0.333  0.365
Rh  0.333  0.667  0.713

Q.
The following is a PBE calculation of crystalline TaHgRh at its relaxed geometry, from Alexandria.

Computed properties:
DOS(E_F) (states/eV per atom): 0.71

a b c (Å): 3.049 3.049 11.558
angles (deg): 90.00 90.00 90.00
Atoms (fractional coordinates):
Ta  0.000  0.000  0.000
Ta  0.500  0.500  0.500
Hg  0.000  0.000  0.688
Hg  0.500  0.500  0.188
Rh  0.000  0.000  0.368
Rh  0.500  0.500  0.868

R.
The following is a PBE calculation of crystalline TaHgRh at its relaxed geometry, from Alexandria.

Computed properties:
DOS(E_F) (states/eV per atom): 0.74

a b c (Å): 6.295 6.295 6.295
angles (deg): 90.00 90.00 90.00
Atoms (fractional coordinates):
Ta  0.000  0.000  0.000
Ta  0.000  0.500  0.500
Ta  0.500  0.000  0.500
Ta  0.500  0.500  0.000
Hg  0.250  0.250  0.750
Hg  0.250  0.750  0.250
Hg  0.750  0.250  0.250
Hg  0.750  0.750  0.750
Rh  0.250  0.250  0.250
Rh  0.250  0.750  0.750
Rh  0.750  0.250  0.750
Rh  0.750  0.750  0.250

S.
The following is a PBE calculation of crystalline TaHgRh at its relaxed geometry, from Alexandria.

Computed properties:
DOS(E_F) (states/eV per atom): 1.60

a b c (Å): 6.237 6.237 6.237
angles (deg): 90.00 90.00 90.00
Atoms (fractional coordinates):
Ta  0.000  0.000  0.000
Ta  0.000  0.500  0.500
Ta  0.500  0.000  0.500
Ta  0.500  0.500  0.000
Hg  0.000  0.000  0.500
Hg  0.000  0.500  0.000
Hg  0.500  0.000  0.000
Hg  0.500  0.500  0.500
Rh  0.250  0.250  0.250
Rh  0.250  0.750  0.750
Rh  0.750  0.250  0.750
Rh  0.750  0.750  0.250

Relative energy of each structure, in meV per atom: P 90; Q 0; R 555; S 329.

P.
The following is a PBE calculation of crystalline Tb6Hg2Rh at its relaxed geometry, from Alexandria.

Computed properties:
DOS(E_F) (states/eV per atom): 1.29

a b c (Å): 3.769 8.644 8.644
angles (deg): 120.23 90.00 90.00
Atoms (fractional coordinates):
Tb  0.000  0.000  0.000
Tb  0.000  0.514  0.759
Tb  0.000  0.759  0.514
Tb  0.500  0.159  0.759
Tb  0.500  0.357  0.357
Tb  0.500  0.759  0.159
Hg  0.000  0.092  0.425
Hg  0.000  0.425  0.092
Rh  0.500  0.754  0.754

Q.
The following is a PBE calculation of crystalline Tb6Hg2Rh at its relaxed geometry, from Alexandria.

Computed properties:
DOS(E_F) (states/eV per atom): 0.77

a b c (Å): 6.977 7.352 12.350
angles (deg): 90.00 123.81 90.00
Atoms (fractional coordinates):
Tb  0.130  0.196  0.449
Tb  0.130  0.304  0.949
Tb  0.253  0.689  0.446
Tb  0.253  0.811  0.946
Tb  0.362  0.013  0.246
Tb  0.362  0.487  0.746
Tb  0.638  0.513  0.254
Tb  0.638  0.987  0.754
Tb  0.747  0.189  0.054
Tb  0.747  0.311  0.554
Tb  0.870  0.696  0.051
Tb  0.870  0.804  0.551
Hg  0.207  0.091  0.747
Hg  0.207  0.409  0.247
Hg  0.793  0.591  0.753
Hg  0.793  0.909  0.253
Rh  0.500  0.000  0.500
Rh  0.500  0.500  0.000

Relative energy of each structure, in meV per atom: P 0; Q 64.